Entry 1:
Gd2Ho2In | the Open Quantum Materials Database | PBE | optimized geometry; space-group type = P4/mbm (127); energy = -4.25 eV per atom; spin magnetization = 0.01 Bohr magnetons per cell
1.0
8.153 0.000 0.000
0.000 8.153 0.000
0.000 0.000 4.606
Gd Ho In
4 4 2
Cartesian
1.248 2.829 0.000
2.829 6.905 0.000
5.325 1.248 0.000
6.905 5.325 0.000
1.209 5.285 2.303
2.868 1.209 2.303
5.285 6.945 2.303
6.945 2.868 2.303
0.000 0.000 2.303
4.077 4.077 2.303



Entry 2:
GdHoIn5 | the Open Quantum Materials Database | PBE | optimized geometry; space-group type = P4/mmm (123); energy = -3.59 eV per atom; spin magnetization = 0.02 Bohr magnetons per cell
1.0
4.656 0.000 0.000
0.000 4.656 0.000
0.000 0.000 8.627
Gd Ho In
1 1 5
Cartesian
0.000 0.000 0.000
0.000 0.000 4.313
0.000 2.328 2.287
0.000 2.328 6.339
2.328 0.000 2.287
2.328 0.000 6.339
2.328 2.328 0.000



Entry 3:
GdHo2LuIn2 | the Open Quantum Materials Database | PBE | optimized geometry; space-group type = P-6m2 (187); energy = -4.31 eV per atom; spin magnetization = 0.73 Bohr magnetons per cell
1.0
5.353 0.000 0.000
-2.677 4.636 0.000
0.000 0.000 6.692
Gd Ho Lu In
1 2 1 2
Cartesian
0.000 0.000 0.000
2.677 1.545 1.706
2.677 1.545 4.985
0.000 3.091 3.346
0.000 0.000 3.346
0.000 3.091 0.000



Entry 4:
Gd2HoMg4In2 | the Open Quantum Materials Database | PBE | optimized geometry; space-group type = Amm2 (38); energy = -3.13 eV per atom; spin magnetization = 0.00 Bohr magnetons per cell
1.0
4.671 0.000 0.000
0.000 6.559 3.812
0.000 -6.559 3.812
Gd Ho Mg In
2 1 4 2
Cartesian
0.000 -3.713 3.812
0.000 3.713 3.812
0.000 0.000 2.646
0.000 0.000 5.940
2.335 0.000 0.188
2.335 -1.597 5.033
2.335 1.597 5.033
2.335 -2.172 2.159
2.335 2.172 2.159



What are the calculated volume values for these records? In order: 30.621, 26.719, 27.677, 25.951 A^3/atom.